First-principles (PBE) data for an optimized crystal structure of Si2OsCl, as listed in Alexandria via LeMat-Bulk.

abc: 4.363 4.363 4.363
angles: 60.00 60.00 60.00
Positions (direct):
1 Si 0.250 0.250 0.250
2 Si 0.000 0.000 0.000
3 Cl 0.500 0.500 0.500
4 Os 0.750 0.750 0.750

formation energy (no corrections) = 72.8 kJ per mole of atoms
energy relative to the lowest polymorph listed for this composition = 842 meV per atom